A plane-wave DFT calculation with PBE-GGA was carried out for a relaxed structure of CaScI.

The structure in extended XYZ format:
```
6
Lattice="3.8036 0.0000 0.0000 -1.9018 3.2940 0.0000 0.0000 0.0000 14.6792" Properties=species:S:1:pos:R:3 pbc="T T T"
Ca 0.0000 0.0000 0.0000
Ca 0.0000 2.1960 7.3396
Sc 0.0000 2.1960 2.7665
Sc 0.0000 2.1960 11.9128
I 0.0000 0.0000 4.8914
I 0.0000 0.0000 9.7879
```

Computed properties:
* total magnetic moment: 1.87 Bohr magnetons per cell
* calculated total energy: -3.671 eV/atom

***

A plane-wave DFT calculation with PBE-GGA was carried out for a relaxed structure of SrCaSc2I.

The structure in extended XYZ format:
```
5
Lattice="5.4982 0.0000 0.0000 0.0000 5.4982 0.0000 0.0000 0.0000 6.1487" Properties=species:S:1:pos:R:3 pbc="T T T"
Sr 0.0000 0.0000 0.0000
Ca 2.7491 2.7491 0.0000
Sc 0.0000 2.7491 3.0744
Sc 2.7491 0.0000 3.0744
I 0.0000 0.0000 3.0744
```

Computed properties:
* total magnetic moment: 0.56 Bohr magnetons per cell
* calculated total energy: -3.398 eV/atom

***

Number 1: DOS(E_F) 7.00 states/eV/cell. Number 2: DOS(E_F) 7.40 states/eV/cell.